1.
{
  "formula": "Pr2Nd4Sm2Tm",
  "functional": "PBE-GGA",
  "state": "optimized geometry",
  "spacegroup": "No. 12",
  "crystal_system": "monoclinic",
  "delta_e_f_kj_per_mol_fu": 11,
  "lattice": [[9.5460, -1.8443, 0.0000], [9.5460, 1.8443, 0.0000], [-4.2190, 0.0000, 8.8570]],
  "species": ["Pr", "Pr", "Nd", "Nd", "Nd", "Nd", "Sm", "Sm", "Tm"],
  "fractional_positions": [[0.1647, 0.1647, 0.4987], [0.8353, 0.8353, 0.5013], [0.0180, 0.0180, 0.8302], [0.3147, 0.3147, 0.1672], [0.6853, 0.6853, 0.8328], [0.9820, 0.9820, 0.1698], [0.3525, 0.3525, 0.8331], [0.6475, 0.6475, 0.1669], [0.5000, 0.5000, 0.5000]]
}

=====

2.
{
  "formula": "LiUSbO5",
  "functional": "PBE-GGA",
  "state": "optimized geometry",
  "e_form_raw_ev_per_atom": -2.302,
  "spacegroup": "No. 15",
  "crystal_system": "monoclinic",
  "lattice": [[4.1371, -4.4532, 0.0000], [4.1371, 4.4532, 0.0000], [-4.0779, 0.0000, 7.2552]],
  "species": ["Li", "Li", "U", "U", "Sb", "Sb", "O", "O", "O", "O", "O", "O", "O", "O", "O", "O"],
  "fractional_positions": [[0.0704, 0.9296, 0.7500], [0.9296, 0.0704, 0.2500], [0.0000, 0.5000, 0.0000], [0.5000, 0.0000, 0.5000], [0.4049, 0.5951, 0.7500], [0.5951, 0.4049, 0.2500], [0.1509, 0.6629, 0.8468], [0.1975, 0.2589, 0.9678], [0.2589, 0.1975, 0.4678], [0.2818, 0.7182, 0.2500], [0.3371, 0.8491, 0.6532], [0.6629, 0.1509, 0.3468], [0.7182, 0.2818, 0.7500], [0.7411, 0.8025, 0.5322], [0.8025, 0.7411, 0.0322], [0.8491, 0.3371, 0.1532]]
}

=====

3.
{
  "formula": "Pm3BiF",
  "functional": "PBE-GGA",
  "state": "optimized geometry",
  "e_form_raw_ev_per_atom": -1.155,
  "spacegroup": "No. 221",
  "crystal_system": "cubic",
  "lattice": [[5.0261, 0.0000, 0.0000], [0.0000, 5.0261, 0.0000], [0.0000, 0.0000, 5.0261]],
  "species": ["Pm", "Pm", "Pm", "Bi", "F"],
  "fractional_positions": [[0.0000, 0.0000, 0.5000], [0.0000, 0.5000, 0.0000], [0.5000, 0.0000, 0.0000], [0.5000, 0.5000, 0.5000], [0.0000, 0.0000, 0.0000]]
}

=====

4.
{
  "formula": "PmErTl6",
  "functional": "PBE-GGA",
  "state": "optimized geometry",
  "spacegroup": "No. 123",
  "crystal_system": "tetragonal",
  "delta_e_f_kj_per_mol_fu": -196,
  "lattice": [[4.7876, 0.0000, 0.0000], [0.0000, 4.7876, 0.0000], [0.0000, 0.0000, 9.5675]],
  "species": ["Pm", "Er", "Tl", "Tl", "Tl", "Tl", "Tl", "Tl"],
  "fractional_positions": [[0.0000, 0.0000, 0.0000], [0.0000, 0.0000, 0.5000], [0.0000, 0.5000, 0.2538], [0.0000, 0.5000, 0.7462], [0.5000, 0.0000, 0.2538], [0.5000, 0.0000, 0.7462], [0.5000, 0.5000, 0.0000], [0.5000, 0.5000, 0.5000]]
}

=====

5.
{
  "formula": "Cu3Br",
  "functional": "PBE-GGA",
  "state": "optimized geometry",
  "e_form_raw_ev_per_atom": 0.102,
  "spacegroup": "No. 63",
  "crystal_system": "orthorhombic",
  "relative_energy_ev_per_fu": 0.00,
  "lattice": [[3.5503, -5.8225, 0.0000], [3.5503, 5.8225, 0.0000], [0.0000, 0.0000, 3.6041]],
  "species": ["Cu", "Cu", "Cu", "Cu", "Cu", "Cu", "Br", "Br"],
  "fractional_positions": [[0.0718, 0.9282, 0.7500], [0.1802, 0.3285, 0.7500], [0.3285, 0.1802, 0.2500], [0.6715, 0.8198, 0.7500], [0.8198, 0.6715, 0.2500], [0.9282, 0.0718, 0.2500], [0.2839, 0.7161, 0.7500], [0.7161, 0.2839, 0.2500]]
}

=====

6.
{
  "formula": "La7Tb2Dy",
  "functional": "PBE-GGA",
  "state": "optimized geometry",
  "spacegroup": "No. 65",
  "crystal_system": "orthorhombic",
  "relative_energy_ev_per_fu": 2.64,
  "delta_e_f_kj_per_mol_fu": 571,
  "lattice": [[4.4412, -8.2700, 0.0000], [4.4412, 8.2700, 0.0000], [0.0000, 0.0000, 5.7511]],
  "species": ["La", "La", "La", "La", "La", "La", "La", "Tb", "Tb", "Dy"],
  "fractional_positions": [[0.0000, 0.0000, 0.0000], [0.2052, 0.4310, 0.0000], [0.2683, 0.7317, 0.5000], [0.4310, 0.2052, 0.0000], [0.5690, 0.7948, 0.0000], [0.7317, 0.2683, 0.5000], [0.7948, 0.5690, 0.0000], [0.2054, 0.7946, 0.0000], [0.7946, 0.2054, 0.0000], [0.5000, 0.5000, 0.5000]]
}

=====

7.
{
  "formula": "RbLa3Nd2Te6",
  "functional": "PBE-GGA",
  "state": "optimized geometry",
  "e_form_raw_ev_per_atom": -1.461,
  "spacegroup": "No. 12",
  "crystal_system": "monoclinic",
  "lattice": [[10.0635, -2.2920, 0.0000], [10.0635, 2.2920, 0.0000], [-2.0902, 0.0000, 9.1037]],
  "species": ["Rb", "La", "La", "La", "Nd", "Nd", "Te", "Te", "Te", "Te", "Te", "Te"],
  "fractional_positions": [[0.0000, 0.0000, 0.0000], [0.0000, 0.0000, 0.5000], [0.3378, 0.3378, 0.1745], [0.6622, 0.6622, 0.8255], [0.3285, 0.3285, 0.6530], [0.6715, 0.6715, 0.3470], [0.1657, 0.1657, 0.5828], [0.1739, 0.1739, 0.0913], [0.4949, 0.4949, 0.7328], [0.5051, 0.5051, 0.2672], [0.8261, 0.8261, 0.9087], [0.8343, 0.8343, 0.4172]]
}

=====

8.
{
  "formula": "La2ScSn3",
  "functional": "PBE-GGA",
  "state": "optimized geometry",
  "spacegroup": "No. 15",
  "crystal_system": "monoclinic",
  "delta_e_f_kj_per_mol_fu": -364,
  "lattice": [[8.6238, -3.2251, 0.0000], [8.6238, 3.2251, 0.0000], [-1.4101, 0.0000, 6.0382]],
  "species": ["La", "La", "La", "La", "Sc", "Sc", "Sn", "Sn", "Sn", "Sn", "Sn", "Sn"],
  "fractional_positions": [[0.0464, 0.2940, 0.1020], [0.2940, 0.0464, 0.6020], [0.7060, 0.9536, 0.3980], [0.9536, 0.7060, 0.8980], [0.3815, 0.6185, 0.2500], [0.6185, 0.3815, 0.7500], [0.1220, 0.8780, 0.7500], [0.2332, 0.4702, 0.4288], [0.4702, 0.2332, 0.9288], [0.5298, 0.7668, 0.0712], [0.7668, 0.5298, 0.5712], [0.8780, 0.1220, 0.2500]]
}